VASP calculation (PBE-GGA) on a relaxed structure of TaCrTe6.

formation energy without anion corrections = -0.057 eV per atom

Cell lengths 6.7700, 6.8614, 7.7724 Å; angles 56.18, 56.12, 57.36 degrees
Closest atoms and distances in Å follow each position.
Positions (direct):
Cr (0.0000, 0.0000, 0.0000)  6 Te 2.70-2.75
Ta (0.5000, 0.5000, 0.5000)  6 Te 2.70-2.82
Te (0.0336, 0.4612, 0.7547)  1 Cr 2.70, 1 Ta 2.70
Te (0.4151, 0.8000, 0.6906)  1 Cr 2.75, 1 Ta 2.82, 1 Te 2.86
Te (0.2930, 0.9175, 0.1874)  1 Cr 2.73, 1 Ta 2.79, 1 Te 2.88
Te (0.5849, 0.2000, 0.3094)  1 Cr 2.75, 1 Ta 2.82, 1 Te 2.86
Te (0.9664, 0.5388, 0.2453)  1 Cr 2.70, 1 Ta 2.70
Te (0.7070, 0.0825, 0.8126)  1 Cr 2.73, 1 Ta 2.79, 1 Te 2.88

VASP calculation (PBE-GGA) on a relaxed structure of Zr2Nb2Ga.

DFT formation energy = 0.002 eV/atom

Cell lengths 7.0884, 7.0884, 4.0741 Å; angles 90.00, 90.00, 90.00 degrees
Closest atoms and distances in Å follow each position.
Positions (direct):
Zr (0.8283, 0.3283, 0.5000)  6 Nb 2.82-2.99
Zr (0.1717, 0.6717, 0.5000)  6 Nb 2.82-2.99
Zr (0.3283, 0.1717, 0.5000)  6 Nb 2.82-2.99
Zr (0.6717, 0.8283, 0.5000)  6 Nb 2.82-2.99
Nb (0.6341, 0.1341, 0.0000)  1 Nb 2.69, 2 Ga 2.76, 6 Zr 2.82-2.99
Nb (0.3659, 0.8659, 0.0000)  1 Nb 2.69, 2 Ga 2.76, 6 Zr 2.82-2.99
Nb (0.1341, 0.3659, 0.0000)  1 Nb 2.69, 2 Ga 2.76, 6 Zr 2.82-2.99
Nb (0.8659, 0.6341, 0.0000)  1 Nb 2.69, 2 Ga 2.76, 6 Zr 2.82-2.99
Ga (0.5000, 0.5000, 0.0000)  4 Nb 2.76
Ga (0.0000, 0.0000, 0.0000)  4 Nb 2.76

VASP calculation (PBE-GGA) on a relaxed structure of Ti2HgAu.

DFT formation energy = -0.182 eV/atom

Cell lengths 3.0051, 3.0051, 7.9996 Å; angles 90.00, 90.00, 90.00 degrees
Closest atoms and distances in Å follow each position.
Positions (direct):
Ti (0.0000, 0.0000, 0.2391)  4 Au 2.86, 4 Hg 2.98, 4 Ti 3.01
Ti (0.0000, 0.0000, 0.7609)  4 Au 2.86, 4 Hg 2.98, 4 Ti 3.01
Au (0.5000, 0.5000, 0.0000)  8 Ti 2.86, 4 Au 3.01
Hg (0.5000, 0.5000, 0.5000)  8 Ti 2.98, 4 Hg 3.01

VASP calculation (PBE-GGA) on a relaxed structure of AlPtPb2.

DFT formation energy = -0.287 eV/atom

Cell lengths 3.3257, 3.3925, 8.3257 Å; angles 90.00, 90.00, 90.00 degrees
Closest atoms and distances in Å follow each position.
Positions (direct):
Pb (0.0000, 0.0000, 0.9451)  1 Pt 3.16, 4 Al 3.24, 4 Pb 3.33-3.39
Pb (0.5000, 0.5000, 0.3080)  1 Al 3.11, 4 Pt 3.20, 4 Pb 3.33-3.39
Pt (0.0000, 0.0000, 0.5656)  4 Al 2.56
Al (0.5000, 0.5000, 0.6813)  4 Pt 2.56

VASP calculation (PBE-GGA) on a relaxed structure of SmInAgRu.

DFT formation energy = -0.126 eV/atom

Cell lengths 4.8768, 4.8768, 4.8768 Å; angles 60.00, 60.00, 60.00 degrees
Closest atoms and distances in Å follow each position.
Positions (direct):
Ag (0.2500, 0.2500, 0.2500)  4 In 2.99, 4 Sm 2.99
Ru (0.7500, 0.7500, 0.7500)  4 In 2.99, 4 Sm 2.99
In (0.0000, 0.0000, 0.0000)  4 Ru 2.99, 4 Ag 2.99
Sm (0.5000, 0.5000, 0.5000)  4 Ag 2.99, 4 Ru 2.99

VASP calculation (PBE-GGA) on a relaxed structure of YMg2Br.

distance to the lowest polymorph of the same formula = 0.080 eV per atom
formation energy without anion corrections = -0.350 eV per atom

Cell lengths 5.4870, 3.5344, 5.8204 Å; angles 90.00, 90.00, 90.00 degrees
Closest atoms and distances in Å follow each position.
Positions (direct):
Y (0.0000, 0.6251, 0.5107)  2 Br 2.90
Br (0.5000, 0.6248, 0.6735)  2 Mg 2.89, 2 Y 2.90
Mg (0.5000, 0.1250, 0.2800)  2 Br 2.89, 2 Mg 3.09
Mg (0.0000, 0.1251, 0.0358)  2 Mg 3.09, 2 Y 3.28